(1)
DFT (GGA-PBE) results for a relaxed RbGdNiS3 crystal.

**Energy above the lowest structure with this stoichiometry**: 30 meV/atom

abc: 10.9940 4.1487 12.0675
angles: 90.00 90.00 90.00
Each line ends with the local moment (μB).
Element x y z (fractional)
Ni 0.7419 0.0000 0.2072  0.14
Ni 0.2581 0.5000 0.7928  0.14
Ni 0.7581 0.5000 0.7072  0.14
Ni 0.2419 0.0000 0.2928  0.14
S 0.6152 0.0000 0.0536  0.02
S 0.2250 0.5000 0.2294  0.02
S 0.7750 0.0000 0.7706  0.02
S 0.4445 0.0000 0.3062  0.02
S 0.3848 0.5000 0.9464  0.02
S 0.0555 0.5000 0.8062  0.02
S 0.5555 0.5000 0.6938  0.02
S 0.7250 0.5000 0.2706  0.02
S 0.1152 0.0000 0.4464  0.01
S 0.9445 0.0000 0.1938  0.02
S 0.2750 0.0000 0.7294  0.02
S 0.8848 0.5000 0.5536  0.01
Gd 0.5106 0.0000 0.8399  0.00
Gd 0.9894 0.5000 0.3399  0.00
Gd 0.0106 0.0000 0.6601  0.00
Gd 0.4894 0.5000 0.1601  0.00
Rb 0.1627 0.0000 0.0079  0.00
Rb 0.8373 0.5000 0.9921  0.00
Rb 0.3373 0.5000 0.5079  0.00
Rb 0.6627 0.0000 0.4921  0.00

---

(2)
DFT (GGA-PBE) results for a relaxed RbGdNiSe3 crystal.

**Energy above the lowest structure with this stoichiometry**: 40 meV/atom

abc: 11.3156 4.3359 12.6884
angles: 90.00 90.00 90.00
Element x y z (fractional)
Se 0.9458 0.0000 0.1915
Se 0.5542 0.5000 0.6915
Se 0.4458 0.0000 0.3085
Se 0.2229 0.5000 0.2179
Se 0.6155 0.0000 0.0530
Se 0.1155 0.0000 0.4470
Se 0.2771 0.0000 0.7179
Se 0.3845 0.5000 0.9470
Se 0.8845 0.5000 0.5530
Se 0.0542 0.5000 0.8085
Se 0.7229 0.5000 0.2821
Se 0.7771 0.0000 0.7821
Rb 0.1628 0.0000 0.0004
Rb 0.8372 0.5000 0.9996
Rb 0.6628 0.0000 0.4996
Rb 0.3372 0.5000 0.5004
Gd 0.5083 0.0000 0.8382
Gd 0.9917 0.5000 0.3382
Gd 0.0083 0.0000 0.6618
Gd 0.4917 0.5000 0.1618
Ni 0.7635 0.5000 0.7118
Ni 0.2635 0.5000 0.7882
Ni 0.2365 0.0000 0.2882
Ni 0.7365 0.0000 0.2118

---

(3)
DFT (GGA-PBE) results for a relaxed RbGdNiSe3 crystal.

**Energy above the lowest structure with this stoichiometry**: 0 meV/atom

abc: 7.9521 7.9521 10.8238
angles: 90.00 90.00 29.90
Each line ends with the local moment (μB).
Element x y z (fractional)
Rb 0.2572 0.2572 0.7500  0.01
Rb 0.7428 0.7428 0.2500  0.01
Se 0.6214 0.6214 0.5727  0.14
Se 0.0583 0.0583 0.2500  0.16
Se 0.6214 0.6214 0.9273  0.14
Se 0.3786 0.3786 0.0727  0.14
Se 0.3786 0.3786 0.4273  0.14
Se 0.9417 0.9417 0.7500  0.16
Ni 0.5280 0.5280 0.7500  1.04
Ni 0.4720 0.4720 0.2500  1.04
Gd 0.0000 0.0000 0.0000  0.01
Gd 0.0000 0.0000 0.5000  0.01

---

(4)
DFT (GGA-PBE) results for a relaxed RbGdNiTe3 crystal.

**Energy above the lowest structure with this stoichiometry**: 90 meV/atom

abc: 11.0090 4.3875 16.0563
angles: 90.00 90.00 90.00
Each line ends with the local moment (μB).
Element x y z (fractional)
Te 0.1826 0.7500 0.5104  0.04
Te 0.3174 0.2500 0.0104  0.04
Te 0.2271 0.2500 0.2708  0.08
Te 0.7729 0.7500 0.7292  0.08
Te 0.5339 0.7500 0.3826  0.05
Te 0.7271 0.2500 0.2292  0.08
Te 0.2729 0.7500 0.7708  0.08
Te 0.4661 0.2500 0.6174  0.05
Te 0.0339 0.7500 0.1174  0.04
Te 0.6826 0.7500 0.9896  0.04
Te 0.9661 0.2500 0.8826  0.04
Te 0.8174 0.2500 0.4896  0.04
Ni 0.1504 0.2500 0.1224  0.41
Ni 0.3496 0.7500 0.6224  0.42
Ni 0.6504 0.2500 0.3776  0.42
Ni 0.8496 0.7500 0.8776  0.41
Gd 0.6538 0.7500 0.5569  0.03
Gd 0.3462 0.2500 0.4431  0.03
Gd 0.1538 0.7500 0.9431  0.03
Gd 0.8462 0.2500 0.0569  0.03
Rb 0.4591 0.7500 0.1663  0.00
Rb 0.5409 0.2500 0.8337  0.00
Rb 0.9591 0.7500 0.3337  0.00
Rb 0.0409 0.2500 0.6663  0.00

---

(5)
DFT (GGA-PBE) results for a relaxed RbGdNiTe3 crystal.

**Energy above the lowest structure with this stoichiometry**: 64 meV/atom

abc: 12.0621 4.5617 13.6473
angles: 90.00 90.00 90.00
Element x y z (fractional)
Te 0.0580 0.5000 0.8111
Te 0.4420 0.0000 0.3111
Te 0.5580 0.5000 0.6889
Te 0.9420 0.0000 0.1889
Te 0.2223 0.5000 0.2125
Te 0.1168 0.0000 0.4511
Te 0.8832 0.5000 0.5489
Te 0.7777 0.0000 0.7875
Te 0.6168 0.0000 0.0489
Te 0.3832 0.5000 0.9511
Te 0.7223 0.5000 0.2875
Te 0.2777 0.0000 0.7125
Ni 0.2706 0.5000 0.7921
Ni 0.7706 0.5000 0.7079
Ni 0.7294 0.0000 0.2079
Ni 0.2294 0.0000 0.2921
Gd 0.0027 0.0000 0.6637
Gd 0.5027 0.0000 0.8363
Gd 0.4973 0.5000 0.1637
Gd 0.9973 0.5000 0.3363
Rb 0.8373 0.5000 0.0002
Rb 0.3373 0.5000 0.4998
Rb 0.6627 0.0000 0.5002
Rb 0.1627 0.0000 0.9998

---

(6)
DFT (GGA-PBE) results for a relaxed RbGdNiTe3 crystal.

**Energy above the lowest structure with this stoichiometry**: 3 meV/atom

abc: 9.7234 4.3341 10.4933
angles: 90.00 110.82 90.00
Element x y z (fractional)
Ni 0.4038 0.7500 0.8763
Ni 0.5962 0.2500 0.1237
Te 0.3994 0.7500 0.6325
Te 0.9654 0.7500 0.6738
Te 0.6006 0.2500 0.3675
Te 0.6679 0.7500 0.0391
Te 0.3321 0.2500 0.9609
Te 0.0346 0.2500 0.3262
Rb 0.7165 0.2500 0.7635
Rb 0.2835 0.7500 0.2365
Gd 0.8224 0.7500 0.3615
Gd 0.1776 0.2500 0.6385

---

(7)
DFT (GGA-PBE) results for a relaxed RbGdNiTe3 crystal.

**Energy above the lowest structure with this stoichiometry**: 32 meV/atom

abc: 11.5070 4.2944 16.2875
angles: 90.00 90.00 90.00
Each line ends with the local moment (μB).
Element x y z (fractional)
Ni 0.7468 0.2500 0.2186  0.76
Ni 0.2532 0.7500 0.7814  0.76
Ni 0.2468 0.2500 0.2814  0.76
Ni 0.7532 0.7500 0.7186  0.76
Rb 0.2551 0.2500 0.0086  0.01
Rb 0.7449 0.7500 0.9914  0.01
Rb 0.7551 0.2500 0.4914  0.01
Rb 0.2449 0.7500 0.5086  0.01
Te 0.9252 0.2500 0.1225  0.09
Te 0.2543 0.2500 0.6912  0.11
Te 0.2457 0.7500 0.1912  0.11
Te 0.0748 0.7500 0.8775  0.09
Te 0.9332 0.7500 0.6243  0.09
Te 0.4332 0.7500 0.8757  0.09
Te 0.7543 0.2500 0.8088  0.11
Te 0.7457 0.7500 0.3088  0.11
Te 0.0668 0.2500 0.3757  0.10
Te 0.5668 0.2500 0.1243  0.10
Te 0.4252 0.2500 0.3775  0.09
Te 0.5748 0.7500 0.6225  0.09
Gd 0.9951 0.7500 0.2490  0.01
Gd 0.0049 0.2500 0.7510  0.01
Gd 0.5049 0.2500 0.7490  0.01
Gd 0.4951 0.7500 0.2510  0.01

---

(8)
DFT (GGA-PBE) results for a relaxed RbGdNiTe3 crystal.

**Energy above the lowest structure with this stoichiometry**: 63 meV/atom

abc: 12.0134 4.5433 13.7905
angles: 90.00 90.00 90.00
Element x y z (fractional)
Gd 0.5006 0.7500 0.8370
Gd 0.9994 0.2500 0.3370
Gd 0.4994 0.2500 0.1630
Gd 0.0006 0.7500 0.6630
Te 0.4422 0.7500 0.3097
Te 0.5578 0.2500 0.6903
Te 0.1193 0.7500 0.4516
Te 0.9422 0.7500 0.1904
Te 0.8807 0.2500 0.5484
Te 0.2231 0.2500 0.2113
Te 0.7231 0.2500 0.2887
Te 0.7769 0.7500 0.7887
Te 0.6193 0.7500 0.0484
Te 0.0578 0.2500 0.8097
Te 0.2769 0.7500 0.7113
Te 0.3807 0.2500 0.9516
Ni 0.7705 0.2500 0.7090
Ni 0.2705 0.2500 0.7910
Ni 0.2295 0.7500 0.2910
Ni 0.7295 0.7500 0.2090
Rb 0.8397 0.2500 0.0016
Rb 0.6603 0.7500 0.5016
Rb 0.3397 0.2500 0.4984
Rb 0.1603 0.7500 0.9984

---

(9)
DFT (GGA-PBE) results for a relaxed RbGdNiTe3 crystal.

**Energy above the lowest structure with this stoichiometry**: 165 meV/atom

abc: 8.9748 8.9748 9.7797
angles: 94.73 94.73 29.51
Each line ends with the local moment (μB).
Element x y z (fractional)
Ni 0.5034 0.5034 0.8631  0.17
Ni 0.4966 0.4966 0.1369  0.17
Rb 0.1489 0.1489 0.5866  0.00
Rb 0.8511 0.8511 0.4134  0.00
Te 0.3419 0.3419 0.1346  0.01
Te 0.0000 0.0000 0.0000  0.02
Te 0.6251 0.6251 0.2902  0.01
Te 0.5000 0.5000 0.5000  0.03
Te 0.3749 0.3749 0.7098  0.01
Te 0.6581 0.6581 0.8654  0.01
Gd 0.1655 0.1655 0.0897  0.01
Gd 0.8345 0.8345 0.9103  0.01

---

(10)
DFT (GGA-PBE) results for a relaxed RbGdNiTe3 crystal.

**Energy above the lowest structure with this stoichiometry**: 18 meV/atom

abc: 9.1028 9.1028 10.7703
angles: 90.00 90.00 26.96
Element x y z (fractional)
Ni 0.4905 0.4905 0.2500
Ni 0.5095 0.5095 0.7500
Te 0.3855 0.3855 0.0890
Te 0.3855 0.3855 0.4110
Te 0.9221 0.9221 0.7500
Te 0.6145 0.6145 0.9110
Te 0.0779 0.0779 0.2500
Te 0.6145 0.6145 0.5890
Rb 0.2553 0.2553 0.7500
Rb 0.7447 0.7447 0.2500
Gd 0.0000 0.0000 0.0000
Gd 0.0000 0.0000 0.5000

---

(11)
DFT (GGA-PBE) results for a relaxed RbGdNiTe3 crystal.

**Energy above the lowest structure with this stoichiometry**: 0 meV/atom

abc: 16.8338 4.3211 11.4533
angles: 90.00 90.00 90.00
Element x y z (fractional)
Gd 0.9783 0.7500 0.6568
Gd 0.5217 0.2500 0.1568
Gd 0.0217 0.2500 0.3432
Gd 0.4783 0.7500 0.8432
Ni 0.5129 0.7500 0.3884
Ni 0.9871 0.2500 0.8884
Ni 0.0129 0.7500 0.1116
Ni 0.4871 0.2500 0.6116
Te 0.1343 0.7500 0.2442
Te 0.9351 0.2500 0.0962
Te 0.8985 0.7500 0.4163
Te 0.1015 0.2500 0.5837
Te 0.3657 0.2500 0.7442
Te 0.8657 0.2500 0.7558
Te 0.3985 0.7500 0.0837
Te 0.6343 0.7500 0.2558
Te 0.0649 0.7500 0.9038
Te 0.6015 0.2500 0.9163
Te 0.5649 0.7500 0.5962
Te 0.4351 0.2500 0.4038
Rb 0.2699 0.7500 0.5204
Rb 0.7301 0.2500 0.4796
Rb 0.2301 0.2500 0.0204
Rb 0.7699 0.7500 0.9796

---

(12)
DFT (GGA-PBE) results for a relaxed GdReNi crystal.

**Energy of formation from the pure elements**: 0.602 eV/atom

abc: 4.3666 4.3666 4.3666
angles: 60.00 60.00 60.00
Each line ends with the local moment (μB).
Element x y z (fractional)
Ni 0.0000 0.0000 0.0000  0.48
Re 0.7500 0.7500 0.7500  1.02
Gd 0.2500 0.2500 0.2500  0.00